(1)
ReP3Pb | GGA-PBE | optimized geometry

The structure in extended XYZ format:
```
5
Lattice="4.947 0.000 0.000 0.000 4.947 0.000 0.000 0.000 4.947" Properties=species:S:1:pos:R:3 pbc="T T T"
Pb 0.000 0.000 0.000
Re 2.474 2.474 2.474
P 0.000 2.474 0.000
P 0.000 0.000 2.474
P 2.474 0.000 0.000
```

Output
formation energy: 2.534 eV/atom
total DFT energy (no corrections): -3.9434 eV per atom
polymorph energy (0 for the lowest one): 197.2 kJ per mole of atoms

(2)
Tl2AgHg6 | GGA-PBE | optimized geometry

The structure in extended XYZ format:
```
9
Lattice="6.518 -0.040 -0.023 0.035 6.591 0.008 0.035 3.290 5.711" Properties=species:S:1:pos:R:3 pbc="T T T"
Tl 5.487 6.551 3.791
Tl 1.102 3.291 1.904
Ag 0.000 0.000 0.000
Hg 2.084 5.029 4.698
Hg 2.095 8.121 4.700
Hg 2.084 6.579 2.020
Hg 4.505 4.812 0.997
Hg 4.494 1.720 0.996
Hg 4.505 3.262 3.675
```

Output
formation energy: 0.026 eV/atom
total DFT energy (no corrections): -1.0177 eV per atom
polymorph energy (0 for the lowest one): 0.0 kJ per mole of atoms

(3)
KRb2GaCl6 | GGA-PBE | optimized geometry

The structure in extended XYZ format:
```
10
Lattice="7.608 0.000 0.000 3.804 6.589 0.000 3.804 2.196 6.212" Properties=species:S:1:pos:R:3 pbc="T T T"
K 0.000 0.000 0.000
Ga 7.608 4.392 3.106
Rb 3.804 2.196 1.553
Rb 11.412 6.589 4.659
Cl 7.608 6.348 4.489
Cl 9.301 3.415 4.489
Cl 5.915 5.370 1.723
Cl 5.915 3.415 4.489
Cl 9.301 5.370 1.723
Cl 7.608 2.437 1.723
```

Output
total DFT energy (no corrections): -3.3256 eV per atom
formation energy without anion corrections: -1.61 eV per atom

(4)
Zn3Ga12As5 | GGA-PBE | optimized geometry

The structure in extended XYZ format:
```
80
Lattice="-7.154 -7.098 8.363 6.599 -8.009 -7.988 8.457 7.424 6.699" Properties=species:S:1:pos:R:3 pbc="T T T"
Zn -1.834 -7.399 4.114
Zn -0.254 -11.290 2.164
Zn 7.552 -4.029 1.332
Zn 2.208 0.008 3.604
Zn -3.321 -5.356 7.994
Zn 3.556 -5.812 -0.182
Zn 4.346 -1.872 7.256
Zn 11.222 -2.328 -0.920
Zn 5.694 -7.692 3.470
Zn 0.349 -3.655 5.742
Zn 8.155 3.606 4.910
Zn 9.735 -0.284 2.960
As 3.695 -2.035 -0.275
As 3.300 -4.005 -3.994
As 0.000 0.000 0.000
As 0.024 -3.736 1.977
As 0.651 0.163 7.531
As -0.278 -7.554 0.187
As 7.226 -4.110 -2.434
As 2.859 0.171 11.136
As 1.930 -7.545 3.792
As 4.484 1.905 7.162
As 3.417 -9.588 -0.088
As 3.951 -3.842 3.537
As -3.577 -3.549 4.182
As 4.228 3.712 3.350
As 5.971 -0.138 3.282
As 5.043 -7.855 -4.062
As 7.528 -0.293 -0.644
As 0.675 -3.573 9.508
As 7.877 -3.947 5.098
As 4.207 -5.649 7.350
Ga -3.849 -5.818 5.544
Ga 5.042 -3.642 1.119
Ga -2.049 -7.628 6.644
Ga -1.350 -4.928 3.718
Ga 6.230 -5.208 3.670
Ga -1.481 -9.902 4.438
Ga 6.030 -5.495 -0.703
Ga 6.547 -6.665 -5.693
Ga 7.794 -6.525 1.787
Ga 0.172 -8.799 2.495
Ga 0.520 -6.169 5.360
Ga 0.783 -12.855 -0.090
Ga 8.696 -2.657 -0.995
Ga 1.112 -5.288 0.319
Ga 8.505 -5.485 -4.112
Ga 2.852 0.345 6.047
Ga 2.400 -0.361 1.090
Ga 1.901 -7.970 -1.282
Ga 2.206 -11.096 1.525
Ga 2.231 -3.606 -1.590
Ga 9.990 -4.434 0.708
Ga 3.457 -6.166 2.340
Ga 3.570 -9.048 4.972
Ga 4.278 -1.386 9.757
Ga 4.444 -1.517 4.734
Ga 4.331 1.364 2.102
Ga 3.623 -6.297 -2.683
Ga 5.695 3.413 5.549
Ga -2.088 -3.250 6.366
Ga 5.671 -4.077 8.665
Ga 6.000 0.286 8.356
Ga 5.049 -8.028 1.027
Ga 5.501 -7.323 5.984
Ga -0.604 -2.199 11.186
Ga -0.795 -5.026 8.069
Ga 7.119 5.172 7.164
Ga 6.789 -2.395 6.755
Ga 0.107 -1.159 5.287
Ga 7.729 1.115 4.579
Ga 7.382 -1.515 1.714
Ga 1.354 -1.019 12.767
Ga 1.871 -2.189 7.777
Ga 9.251 -2.755 3.356
Ga 9.383 2.219 2.636
Ga 1.671 -2.475 3.404
Ga 9.950 -0.055 0.431
Ga 2.860 -4.041 5.956
Ga 11.751 -1.865 1.530
```

Output
formation energy: 0.015 eV/atom
total DFT energy (no corrections): -3.1547 eV per atom

(5)
Rb5Hg4Pd | GGA-PBE | optimized geometry

The structure in extended XYZ format:
```
10
Lattice="4.681 0.000 -1.287 -0.800 8.456 -2.909 0.710 -1.021 11.737" Properties=species:S:1:pos:R:3 pbc="T T T"
Rb 0.035 8.172 0.128
Rb 0.716 4.709 2.604
Rb 3.875 2.726 4.937
Rb 1.941 4.228 -2.098
Rb 4.556 -0.737 7.413
Hg 2.853 2.128 1.219
Hg 4.573 5.763 7.474
Hg 1.739 5.307 6.322
Hg 0.018 1.672 0.067
Pd 2.340 0.000 -0.644
```

Output
formation energy: -0.173 eV/atom
total DFT energy (no corrections): -1.2966 eV per atom

(6)
MgSn2Au2 | GGA-PBE | optimized geometry

The structure in extended XYZ format:
```
5
Lattice="3.883 0.000 0.000 0.000 3.883 0.000 1.941 1.941 7.946" Properties=species:S:1:pos:R:3 pbc="T T T"
Mg 0.000 0.000 0.000
Au 3.883 1.941 3.973
Au 1.941 3.883 3.973
Sn 1.941 1.941 1.711
Sn 3.883 3.883 6.234
```

Output
formation energy: -0.013 eV/atom
total DFT energy (no corrections): -3.2441 eV per atom
polymorph energy (0 for the lowest one): 18.6 kJ per mole of atoms

(7)
La5ScCd4 | GGA-PBE | optimized geometry

The structure in extended XYZ format:
```
10
Lattice="3.917 0.000 0.000 0.000 3.917 0.000 0.000 0.000 20.005" Properties=species:S:1:pos:R:3 pbc="T T T"
La 1.958 1.958 2.080
La 1.958 1.958 6.042
La 1.958 1.958 10.003
La 1.958 1.958 13.963
La 1.958 1.958 17.925
Sc 0.000 0.000 0.000
Cd 0.000 0.000 3.999
Cd 0.000 0.000 8.037
Cd 0.000 0.000 11.968
Cd 0.000 0.000 16.006
```

Output
formation energy: -0.238 eV/atom
total DFT energy (no corrections): -3.7008 eV per atom

(8)
TiCu3Cl2F6 | GGA-PBE | optimized geometry

The structure in extended XYZ format:
```
12
Lattice="4.871 0.000 0.093 0.000 5.634 0.000 -0.622 -2.817 7.149" Properties=species:S:1:pos:R:3 pbc="T T T"
Ti 2.435 0.000 0.047
Cu 0.000 2.817 0.000
Cu 2.124 1.409 3.621
Cu 2.124 -1.409 3.621
Cl 0.664 2.817 2.884
Cl 3.585 0.000 4.358
F 3.608 1.379 0.675
F 0.641 1.438 6.567
F 2.672 2.817 5.537
F 1.577 0.000 1.706
F 0.641 -1.438 6.567
F 3.608 4.255 0.675
```

Output
total DFT energy (no corrections): -4.8426 eV per atom
formation energy without anion corrections: -1.92 eV per atom